! Mg4Cd4Pb, relaxed, DFT PBE-GGA; values from VASP
&SYSTEM
  ibrav = 0, nat = 18, ntyp = 3
/
ATOMIC_SPECIES
Cd 112.41 Cd.upf
Mg 24.30 Mg.upf
Pb 207.20 Pb.upf
ATOMIC_POSITIONS crystal
Cd 0.500 0.816 0.223
Cd 0.816 0.500 0.777
Cd 0.000 0.316 0.277
Cd 0.684 0.000 0.723
Cd 0.500 0.184 0.223
Cd 0.316 0.000 0.723
Cd 0.000 0.684 0.277
Cd 0.184 0.500 0.777
Mg 0.299 0.500 0.145
Mg 0.000 0.201 0.645
Mg 0.000 0.799 0.645
Mg 0.500 0.299 0.855
Mg 0.201 0.000 0.355
Mg 0.500 0.701 0.855
Mg 0.701 0.500 0.145
Mg 0.799 0.000 0.355
Pb 0.000 0.000 0.000
Pb 0.500 0.500 0.500
CELL_PARAMETERS angstrom
-0.059 -7.440 2.511
5.823 1.643 5.005
-5.170 1.865 5.403
! Space-group type ... P4_2/nmc
! Distance to the lowest polymorph of the same formula ... 137 meV/atom
! ρ ... 5.270 Mg/m³